The following is a GGA-PBE calculation of Be2PPb after structural relaxation, from Alexandria.

Computed properties:
- Energy relative to the lowest polymorph listed for this composition: 2.45 eV per formula unit
- Volume: 133.11 Å³/cell
- E_form: 0.7571 eV per atom
- Final energy: -3.39 eV/atom
- DOS(E_F): 2.9 states/eV/cell
- Magnetization: 0.00 μB per formula unit

Lattice parameters (Å, degrees): 3.579 3.579 10.394 90.00 90.00 90.00
Space group I-4m2 (No. 119)
Asymmetric unit:
Be 0.000 0.000 0.000 (multiplicity 2)
Be 0.000 0.500 0.250 (multiplicity 2)
P 0.000 0.500 0.750 (multiplicity 2)
Pb 0.000 0.000 0.500 (multiplicity 2)

---

The following is a GGA-PBE calculation of BeZn2Ni2 after structural relaxation, from Alexandria.

Computed properties:
- Energy relative to the lowest polymorph listed for this composition: 0.00 eV per formula unit
- Volume: 120.16 Å³/cell
- E_form: -0.1587 eV per atom
- Final energy: -3.73 eV/atom
- DOS(E_F): 5.5 states/eV/cell
- Magnetization: 0.00 μB per formula unit

Lattice parameters (Å, degrees): 5.545 5.545 3.907 90.00 90.00 90.00
Space group P4/mbm (No. 127)
Asymmetric unit:
Be 0.000 0.000 0.000 (multiplicity 2)
Zn 0.164 0.336 0.500 (multiplicity 4)
Ni 0.149 0.649 0.000 (multiplicity 4)

---

The following is a GGA-PBE calculation of Pr6ZnSe2I3 after structural relaxation, from Alexandria.

Computed properties:
- Volume: 757.33 Å³/cell
- Final energy: -4.60 eV/atom
- Formation energy from raw total energies: -1.14 eV/atom
- DOS(E_F): 12.3 states/eV/cell
- Magnetization: 0.00 μB per formula unit

Lattice parameters (Å, degrees): 7.454 12.911 8.250 90.00 107.48 90.00
Space group C2/m (No. 12)
Asymmetric unit:
Pr 0.233 0.166 0.200 (multiplicity 8)
Pr 0.235 0.500 0.200 (multiplicity 4)
Zn 0.000 0.000 0.000 (multiplicity 2)
Se 0.000 0.333 0.000 (multiplicity 4)
I 0.000 0.167 0.500 (multiplicity 4)
I 0.000 0.500 0.500 (multiplicity 2)

---

Which value of volume does entry 3 give?
757.33 Å³/cell